A plane-wave DFT calculation with GGA-PBEsol was carried out for an optimized crystal structure of Te2Au2Se.

It has space group I4/mmm (No. 139), with a = 3.8729 Å, b = 3.8729 Å, c = 15.1636 Å, α = 90.00°, β = 90.00° and γ = 90.00°. Symmetry generates all atoms from Te at (0.0000, 0.0000, 0.1091), Au at (0.0000, 0.5000, 0.2500) and Se at (0.0000, 0.0000, 0.5000).

Its density of states at the Fermi level is 5.3 states/eV per cell. The formation energy without anion corrections is 0.16 eV per atom. The value obtained for the total magnetization is 0.00 μB per formula unit. The value obtained for the volume is 114 Å³/f.u.

A plane-wave DFT calculation with GGA-PBEsol was carried out for an optimized crystal structure of SnBi2Mo.

It has space group I-42d (No. 122), with a = 6.5471 Å, b = 6.5471 Å, c = 13.3134 Å, α = 90.00°, β = 90.00° and γ = 90.00°. Symmetry generates all atoms from Sn at (0.0000, 0.0000, 0.0000), Bi at (0.2098, 0.2500, 0.6250) and Mo at (0.0000, 0.0000, 0.5000).

Its density of states at the Fermi level is 9.1 states/eV per cell. The value obtained for the energy of formation is 87 kJ/mol of atoms. The value obtained for the total magnetization is 2.13 μB per formula unit. The value obtained for the volume is 143 Å³/f.u.

A plane-wave DFT calculation with GGA-PBEsol was carried out for an optimized crystal structure of ScTiSn2.

It has space group Fm-3m (No. 225), with a = 6.9151 Å, b = 6.9151 Å, c = 6.9151 Å, α = 90.00°, β = 90.00° and γ = 90.00°. Symmetry generates all atoms from Sc at (0.0000, 0.0000, 0.0000), Ti at (0.0000, 0.0000, 0.5000) and Sn at (0.2500, 0.2500, 0.2500).

Its density of states at the Fermi level is 17.4 states/eV per cell. The value obtained for the energy of formation is -30 kJ/mol of atoms. The value obtained for the total magnetization is 2.11 μB per formula unit. The value obtained for the volume is 83 Å³/f.u.

A plane-wave DFT calculation with GGA-PBEsol was carried out for an optimized crystal structure of ZnNi3.

It has space group Pm-3m (No. 221), with a = 3.5179 Å, b = 3.5179 Å, c = 3.5179 Å, α = 90.00°, β = 90.00° and γ = 90.00°. Symmetry generates all atoms from Zn at (0.0000, 0.0000, 0.0000) and Ni at (0.0000, 0.5000, 0.5000).

Its density of states at the Fermi level is 4.3 states/eV per cell. The value obtained for the energy of formation is -11 kJ/mol of atoms. The value obtained for the total magnetization is 1.26 μB per formula unit. The value obtained for the volume is 44 Å³/f.u.

Q: Among the records above, which one has the highest volume?
A: SnBi2Mo

Q: volume of number 1 (Te2Au2Se)?
A: 114 Å³/f.u.

Q: The lowest volume belongs to which entry?
A: ZnNi3